w) Computed, not measured: a relaxed structure of ZrNi3Os at the PBE-GGA level of DFT.

```
ZrNi3Os
1.0
-0.7666 3.6458 2.3743
1.2095 -2.1372 3.6724
4.1793 1.2873 -0.6273
Ni Os Zr
3 1 1
direct
0.0000 0.0000 0.5000 Ni
0.5000 0.0000 0.0000 Ni
0.0000 0.5000 0.0000 Ni
0.5000 0.5000 0.5000 Os
0.0000 0.0000 0.0000 Zr
```

N(E_F) in states/eV/cell: 5.20
Calculated volume in Å³ per cell: 86.22
Symmetry: Pm-3m (221)

---

x) Computed, not measured: a relaxed structure of ZrNi3Os at the PBE-GGA level of DFT.

```
ZrNi3Os
1.0
4.4601 0.0000 0.0000
0.0000 4.4601 0.0000
0.0000 0.0000 4.4601
Ni Zr Os
3 1 1
direct
0.0000 0.5000 0.0000 Ni
0.0000 0.0000 0.5000 Ni
0.5000 0.0000 0.0000 Ni
0.5000 0.5000 0.5000 Zr
0.0000 0.0000 0.0000 Os
```

N(E_F) in states/eV/cell: 7.88
Calculated volume in Å³ per cell: 88.72
Symmetry: Pm-3m (221)

---

Which one sits at the bottom of the stability order? w) does.

---

w) Computed, not measured: a relaxed structure of Ni3P5 at the PBE-GGA level of DFT.

```
Ni3P5
1.0
-1.5846 4.0791 5.7780
-3.8031 -3.1503 -6.6930
0.2410 -5.4775 3.5965
P Ni
10 6
direct
0.2271 0.7550 0.5921 P
0.1137 0.8738 0.1570 P
0.5950 0.3399 0.8238 P
0.5412 0.8080 0.1771 P
0.9494 0.2032 0.8207 P
0.9749 0.1857 0.1707 P
0.3838 0.5829 0.8278 P
0.8437 0.3361 0.4081 P
0.5357 0.3195 0.2312 P
0.9505 0.7376 0.7666 P
0.4067 0.1046 0.4887 Ni
0.7972 0.3049 0.0575 Ni
0.1636 0.1150 0.9440 Ni
0.2358 0.7393 0.9372 Ni
0.6527 0.0006 0.5114 Ni
0.6223 0.5940 0.0861 Ni
```

N(E_F) in states/eV/cell: 7.53
Calculated volume in Å³ per cell: 250.01
Symmetry: P1 (1)

---

x) Computed, not measured: a relaxed structure of Ni3P5 at the PBE-GGA level of DFT.

```
Ni3P5
1.0
3.2753 -3.7583 0.0000
3.2753 3.7583 0.0000
0.0000 0.0000 4.1421
P Ni
5 3
direct
0.7120 0.7120 0.5000 P
0.0000 0.5000 0.0000 P
0.0000 0.0000 0.0000 P
0.2880 0.2880 0.5000 P
0.5000 0.0000 0.0000 P
0.2543 0.7457 0.5000 Ni
0.5000 0.5000 0.0000 Ni
0.7457 0.2543 0.5000 Ni
```

N(E_F) in states/eV/cell: 2.78
Calculated volume in Å³ per cell: 101.97
Symmetry: Cmmm (65)

---

Which one sits at the bottom of the stability order? x) does.

---

w) Computed, not measured: a relaxed structure of PaNi3P2 at the PBE-GGA level of DFT.

```
PaNi3P2
1.0
3.4758 0.2994 1.4614
1.5543 6.6695 4.7353
0.5767 0.6943 8.2751
Ni P Pa
6 4 2
direct
0.9995 0.3170 0.6828 Ni
0.1786 0.8452 0.4760 Ni
0.0005 0.6830 0.3172 Ni
0.8214 0.1548 0.5240 Ni
0.8209 0.5240 0.1547 Ni
0.1791 0.4760 0.8453 Ni
0.2744 0.3630 0.3625 P
0.5004 0.8432 0.1568 P
0.7256 0.6370 0.6375 P
0.4996 0.1568 0.8432 P
0.6807 0.1595 0.1595 Pa
0.3193 0.8405 0.8405 Pa
```

N(E_F) in states/eV/cell: 9.39
Calculated volume in Å³ per cell: 173.33
Symmetry: Cmmm (65)

---

x) Computed, not measured: a relaxed structure of PaNi3P2 at the PBE-GGA level of DFT.

```
PaNi3P2
1.0
-2.9761 2.2989 -0.5237
1.0746 -3.2497 -6.6078
-3.5920 -3.6541 4.3719
Ni P Pa
6 4 2
direct
0.3159 0.6319 0.5663 Ni
0.0436 0.0872 0.3707 Ni
0.6062 0.2123 0.7024 Ni
0.6841 0.3681 0.4337 Ni
0.3938 0.7877 0.2976 Ni
0.9564 0.9128 0.6293 Ni
0.5182 0.0364 0.1814 P
0.4818 0.9636 0.8186 P
0.1906 0.3812 0.6813 P
0.8094 0.6188 0.3187 P
0.8500 0.6999 0.9303 Pa
0.1500 0.3001 0.0697 Pa
```

N(E_F) in states/eV/cell: 8.28
Calculated volume in Å³ per cell: 166.08
Symmetry: C2/m (12)

---

Which one sits at the bottom of the stability order? w) does.

---

w) Computed, not measured: a relaxed structure of PaNi3P at the PBE-GGA level of DFT.

```
PaNi3P
1.0
-2.7744 1.8910 -1.6849
-2.0991 -3.1151 -0.0417
-4.3426 0.6116 3.6484
P Pa Ni
1 1 3
direct
0.0243 0.8277 0.6567 P
0.3898 0.1933 0.9257 Pa
0.8038 0.6074 0.0977 Ni
0.1449 0.4484 0.4155 Ni
0.6449 0.9484 0.4155 Ni
```

N(E_F) in states/eV/cell: 5.81
Calculated volume in Å³ per cell: 71.24
Symmetry: I4mm (107)

---

x) Computed, not measured: a relaxed structure of PaNi3P at the PBE-GGA level of DFT.

```
PaNi3P
1.0
-4.3925 -2.7814 -0.2355
2.0801 -3.5804 3.5176
-1.9684 2.7708 3.9848
Ni P Pa
6 2 2
direct
0.8612 0.1322 0.7010 Ni
0.3616 0.2203 0.2009 Ni
0.9803 0.5137 0.4593 Ni
0.4805 0.8392 0.9592 Ni
0.9805 0.5138 0.9421 Ni
0.4807 0.8391 0.4422 Ni
0.6405 0.5269 0.2006 P
0.1406 0.8259 0.7006 P
0.9153 0.0136 0.2008 Pa
0.4151 0.3393 0.7008 Pa
```

N(E_F) in states/eV/cell: 5.83
Calculated volume in Å³ per cell: 148.10
Symmetry: Pmn2_1 (31)

---

Which one sits at the bottom of the stability order? x) does.

---

w) Computed, not measured: a relaxed structure of Pa2NiP at the PBE-GGA level of DFT.

```
Pa2NiP
1.0
3.6998 0.0000 0.0000
0.0000 5.6686 0.0417
0.0000 -2.7718 7.4605
P Pa Ni
2 4 2
direct
0.2500 0.3397 0.7047 P
0.7500 0.6603 0.2953 P
0.2500 0.7946 0.5890 Pa
0.2500 0.7796 0.0555 Pa
0.7500 0.2204 0.9445 Pa
0.7500 0.2054 0.4110 Pa
0.2500 0.3770 0.2231 Ni
0.7500 0.6230 0.7769 Ni
```

N(E_F) in states/eV/cell: 10.16
Calculated volume in Å³ per cell: 156.89
Symmetry: P2_1/m (11)

---

x) Computed, not measured: a relaxed structure of Pa2NiP at the PBE-GGA level of DFT.

```
Pa2NiP
1.0
-0.4022 3.2071 0.8419
-2.9482 1.4952 -0.4785
-3.6789 -0.8858 8.2422
Ni Pa P
1 2 1
direct
0.0000 0.0000 0.0000 Ni
0.9059 0.9059 0.2823 Pa
0.0941 0.0941 0.7177 Pa
0.5000 0.5000 0.5000 P
```

N(E_F) in states/eV/cell: 4.84
Calculated volume in Å³ per cell: 85.62
Symmetry: R-3m (166)

---

Which one sits at the bottom of the stability order? x) does.

---

w) Computed, not measured: a relaxed structure of Ni3PPb at the PBE-GGA level of DFT.

```
Ni3PPb
1.0
-0.1630 -3.8401 1.9288
2.1917 1.5860 3.3427
-3.6963 1.1097 1.8970
P Pb Ni
1 1 3
direct
0.0000 0.0000 0.0000 P
0.5000 0.5000 0.5000 Pb
0.0000 0.0000 0.5000 Ni
0.0000 0.5000 0.0000 Ni
0.5000 0.0000 0.0000 Ni
```

N(E_F) in states/eV/cell: 3.06
Calculated volume in Å³ per cell: 79.53
Symmetry: Pm-3m (221)

---

x) Computed, not measured: a relaxed structure of Ni3PPb at the PBE-GGA level of DFT.

```
Ni3PPb
1.0
-0.3055 2.9765 -3.6582
-2.2090 -3.3292 -2.5243
-4.1668 1.5467 1.6064
Pb Ni P
1 3 1
direct
0.0000 0.0000 0.0000 Pb
0.0000 0.5000 0.0000 Ni
0.5000 0.0000 0.0000 Ni
0.0000 0.0000 0.5000 Ni
0.5000 0.5000 0.5000 P
```

N(E_F) in states/eV/cell: 3.54
Calculated volume in Å³ per cell: 105.56
Symmetry: Pm-3m (221)

---

Which one sits at the bottom of the stability order? x) does.

---

w) Computed, not measured: a relaxed structure of NiP2PbS at the PBE-GGA level of DFT.

```
NiP2PbS
1.0
-2.6004 -2.5647 2.2968
-0.7107 -2.4164 -3.5030
3.8959 -2.8793 1.1957
P Ni Pb S
2 1 1 1
direct
0.0000 0.5000 0.0000 P
0.5000 0.0000 0.0000 P
0.0000 0.0000 0.0000 Ni
0.5000 0.5000 0.5000 Pb
0.0000 0.0000 0.5000 S
```

N(E_F) in states/eV/cell: 4.90
Calculated volume in Å³ per cell: 92.88
Symmetry: P4/mmm (123)

---

x) Computed, not measured: a relaxed structure of NiP2PbS at the PBE-GGA level of DFT.

```
NiP2PbS
1.0
5.1739 0.0000 0.0000
0.0000 5.1739 0.0000
0.0000 0.0000 5.1831
S P Ni Pb
1 2 1 1
direct
0.0000 0.0000 0.5000 S
0.0000 0.5000 0.0000 P
0.5000 0.0000 0.0000 P
0.5000 0.5000 0.5000 Ni
0.0000 0.0000 0.0000 Pb
```

N(E_F) in states/eV/cell: 10.73
Calculated volume in Å³ per cell: 138.75
Symmetry: P4/mmm (123)

---

Which one sits at the bottom of the stability order? x) does.

---

w) Computed, not measured: a relaxed structure of NiPPbS2 at the PBE-GGA level of DFT.

```
NiPPbS2
1.0
-1.0741 2.2983 -4.5433
1.4603 -4.3092 -2.5251
-4.8391 -1.7820 0.2426
P S Pb Ni
1 2 1 1
direct
0.0000 0.0000 0.5000 P
0.0000 0.5000 0.0000 S
0.5000 0.0000 0.0000 S
0.0000 0.0000 0.0000 Pb
0.5000 0.5000 0.5000 Ni
```

N(E_F) in states/eV/cell: 9.59
Calculated volume in Å³ per cell: 139.79
Symmetry: P4/mmm (123)

---

x) Computed, not measured: a relaxed structure of NiPPbS2 at the PBE-GGA level of DFT.

```
NiPPbS2
1.0
4.7683 0.0000 0.0000
0.0000 4.7683 0.0000
0.0000 0.0000 4.1530
Pb S P Ni
1 2 1 1
direct
0.5000 0.5000 0.5000 Pb
0.5000 0.0000 0.0000 S
0.0000 0.5000 0.0000 S
0.0000 0.0000 0.5000 P
0.0000 0.0000 0.0000 Ni
```

N(E_F) in states/eV/cell: 3.39
Calculated volume in Å³ per cell: 94.42
Symmetry: P4/mmm (123)

---

Which one sits at the bottom of the stability order? w) does.